Computed, not measured: an optimized crystal structure of Cs3Ho3TiTe8 at the GGA-PBE level of DFT.

a = 8.750 Å, b = 8.747 Å, c = 10.454 Å
α = 114.74°, β = 90.00°, γ = 120.01°
Fractional positions:
1 Te 0.784 0.569 0.321
2 Te 0.215 0.964 0.679
3 Te 0.216 0.431 0.679
4 Te 0.251 0.036 0.321
5 Te 0.785 0.036 0.321
6 Te 0.730 0.461 0.691
7 Te 0.749 0.964 0.679
8 Te 0.270 0.539 0.309
9 Ti 0.000 0.000 0.500
10 Ho 0.500 0.000 0.500
11 Ho 0.000 0.500 0.500
12 Ho 0.500 0.500 0.500
13 Cs 0.000 0.500 0.000
14 Cs 0.000 0.000 0.000
15 Cs 0.500 0.500 0.000

Calculated values
Raw formation energy (eV per formula unit): -18.07
Crystal system: trigonal
N(E_F) (states/eV/atom): 0.01

=====

Computed, not measured: an optimized crystal structure of Cs3HoTm2Te6 at the GGA-PBE level of DFT.

a = 7.829 Å, b = 7.829 Å, c = 9.284 Å
α = 98.08°, β = 98.08°, γ = 120.00°
Fractional positions:
1 Cs 0.500 0.500 0.500
2 Cs 0.166 0.834 0.500
3 Cs 0.834 0.166 0.500
4 Te 0.273 0.273 0.812
5 Te 0.727 0.727 0.188
6 Te 0.398 0.063 0.188
7 Te 0.937 0.602 0.812
8 Te 0.602 0.937 0.812
9 Te 0.063 0.398 0.188
10 Tm 0.333 0.667 0.000
11 Tm 0.667 0.333 0.000
12 Ho 0.000 0.000 0.000

Calculated values
Raw formation energy (eV per formula unit): -16.37
Crystal system: monoclinic

=====

Computed, not measured: an optimized crystal structure of Cs4HoTm3Te8 at the GGA-PBE level of DFT.

a = 9.037 Å, b = 10.325 Å, c = 9.037 Å
α = 115.96°, β = 120.00°, γ = 90.00°
Fractional positions:
1 Cs 0.000 0.000 0.500
2 Cs 0.500 0.000 0.500
3 Cs 0.500 0.000 0.000
4 Cs 0.000 0.000 0.000
5 Ho 0.000 0.500 0.000
6 Tm 0.500 0.500 0.000
7 Tm 0.000 0.500 0.500
8 Tm 0.500 0.500 0.500
9 Te 0.272 0.312 0.042
10 Te 0.271 0.313 0.542
11 Te 0.770 0.312 0.042
12 Te 0.729 0.687 0.458
13 Te 0.728 0.688 0.958
14 Te 0.230 0.688 0.460
15 Te 0.770 0.312 0.540
16 Te 0.230 0.688 0.958

Calculated values
Raw formation energy (eV per formula unit): -21.81
Crystal system: trigonal

=====

Computed, not measured: an optimized crystal structure of Cs3HoU2Te6 at the GGA-PBE level of DFT.

a = 7.895 Å, b = 7.895 Å, c = 9.347 Å
α = 98.09°, β = 98.09°, γ = 120.00°
Fractional positions:
1 Te 0.064 0.394 0.191
2 Te 0.394 0.064 0.191
3 Te 0.266 0.266 0.809
4 Te 0.606 0.936 0.809
5 Te 0.936 0.606 0.809
6 Te 0.734 0.734 0.191
7 Cs 0.833 0.167 0.500
8 Cs 0.500 0.500 0.500
9 Cs 0.167 0.833 0.500
10 U 0.333 0.667 0.000
11 U 0.667 0.333 0.000
12 Ho 0.000 0.000 0.000

Calculated values
Raw formation energy (eV per formula unit): -12.09
Crystal system: monoclinic
N(E_F) (states/eV/atom): 1.23

=====

Computed, not measured: an optimized crystal structure of Cs4Y3HoTe8 at the GGA-PBE level of DFT.

a = 9.105 Å, b = 10.349 Å, c = 9.104 Å
α = 116.09°, β = 120.00°, γ = 90.00°
Fractional positions:
1 Te 0.269 0.310 0.040
2 Te 0.771 0.310 0.541
3 Te 0.731 0.690 0.960
4 Te 0.229 0.690 0.459
5 Te 0.730 0.690 0.460
6 Te 0.229 0.690 0.960
7 Te 0.270 0.310 0.540
8 Te 0.771 0.310 0.040
9 Cs 0.000 0.000 0.000
10 Cs 0.000 0.000 0.500
11 Cs 0.500 0.000 0.500
12 Cs 0.500 0.000 0.000
13 Y 0.000 0.500 0.500
14 Y 0.500 0.500 0.500
15 Y 0.500 0.500 0.000
16 Ho 0.000 0.500 0.000

Calculated values
Raw formation energy (eV per formula unit): -22.34
Crystal system: trigonal

=====

Computed, not measured: an optimized crystal structure of Cs3YHo3Te8 at the GGA-PBE level of DFT.

a = 8.823 Å, b = 8.826 Å, c = 10.533 Å
α = 114.77°, β = 90.00°, γ = 120.00°
Fractional positions:
1 Ho 0.500 0.500 0.500
2 Ho 0.000 0.500 0.500
3 Ho 0.500 0.000 0.500
4 Te 0.730 0.460 0.690
5 Te 0.273 0.041 0.310
6 Te 0.727 0.959 0.690
7 Te 0.232 0.464 0.690
8 Te 0.768 0.536 0.310
9 Te 0.270 0.540 0.310
10 Te 0.232 0.959 0.690
11 Te 0.768 0.041 0.310
12 Cs 0.000 0.500 0.000
13 Cs 0.000 0.000 0.000
14 Cs 0.500 0.500 0.000
15 Y 0.000 0.000 0.500

Calculated values
Raw formation energy (eV per formula unit): -19.88
Crystal system: trigonal
N(E_F) (states/eV/atom): 0.47